DFT (PBE) results for a relaxed AcTmGaN3 crystal.

Calculated values
As for the crystal system: monoclinic. The calculation puts the electronic total energy at -84.90 eV/cell.

Cell: 3.5097 7.4985 7.7674 Å, 101.21 90.00 90.00°
Positions (direct):
1 Ac 0.2500 0.1917 0.2014
2 Ac 0.7500 0.8083 0.7986
3 Tm 0.2500 0.6453 0.1469
4 Tm 0.7500 0.3547 0.8531
5 Ga 0.2500 0.1022 0.6112
6 Ga 0.7500 0.8978 0.3888
7 N 0.7500 0.8652 0.1379
8 N 0.2500 0.1348 0.8621
9 N 0.2500 0.8335 0.4915
10 N 0.7500 0.1665 0.5085
11 N 0.7500 0.4231 0.1458
12 N 0.2500 0.5769 0.8542

DFT (PBE) results for a relaxed Ac2UGaN5 crystal.

Calculated values
As for the crystal system: orthorhombic. The calculation puts the electronic total energy at -147.54 eV/cell.

Cell: 3.5637 7.6054 10.9521 Å, 90.00 90.00 103.55°
Positions (direct):
1 Ac 0.8716 0.7433 0.8167
2 Ac 0.1047 0.2094 0.6824
3 Ac 0.1284 0.2567 0.3167
4 Ac 0.8953 0.7906 0.1824
5 U 0.7957 0.5914 0.5201
6 U 0.2043 0.4086 0.0201
7 Ga 0.5485 0.0970 0.9440
8 Ga 0.4515 0.9030 0.4440
9 N 0.3434 0.6868 0.0063
10 N 0.6889 0.3778 0.8936
11 N 0.4957 0.9915 0.7858
12 N 0.2863 0.5725 0.6425
13 N 0.9465 0.8929 0.5326
14 N 0.6566 0.3132 0.5063
15 N 0.3111 0.6222 0.3936
16 N 0.5043 0.0085 0.2858
17 N 0.7137 0.4275 0.1425
18 N 0.0535 0.1071 0.0326

Number 1: spin magnetization 0.00 μB per formula unit, formation energy (no corrections) -977.6 meV per atom. Number 2: spin magnetization 0.00 μB per formula unit, formation energy (no corrections) -1068.1 meV per atom.